(1)
Entry from Alexandria via LeMat-Bulk: a relaxed Sm3YBi3 crystal (PBE-GGA).

Structure (extended XYZ):
```
28
Lattice="9.5403 0.0000 0.0000 0.0000 9.5403 0.0000 0.0000 0.0000 9.5403" Properties=species:S:1:pos:R:3 pbc="T T T"
Sm 0.6621 4.1081 5.4322
Sm 1.6853 7.8550 3.0848
Sm 1.6964 1.6964 1.6964
Sm 3.0738 7.8439 6.4665
Sm 3.0848 1.6853 7.8550
Sm 4.1081 5.4322 0.6621
Sm 5.4322 0.6621 4.1081
Sm 6.4555 6.4555 6.4555
Sm 6.4665 3.0738 7.8439
Sm 7.8439 6.4665 3.0738
Sm 7.8550 3.0848 1.6853
Sm 8.8782 8.8782 8.8782
Y 0.6997 5.4698 8.8406
Y 4.0705 4.0705 4.0705
Y 5.4698 8.8406 0.6997
Y 8.8406 0.6997 5.4698
Bi 0.0104 2.4193 8.3285
Bi 1.2118 4.7806 2.3508
Bi 2.3508 1.2118 4.7806
Bi 2.4193 8.3285 0.0104
Bi 3.5583 4.7597 7.1210
Bi 4.7597 7.1210 3.5583
Bi 4.7806 2.3508 1.2118
Bi 5.9820 9.5299 7.1895
Bi 7.1210 3.5583 4.7597
Bi 7.1895 5.9820 9.5299
Bi 8.3285 0.0104 2.4193
Bi 9.5299 7.1895 5.9820
```

Properties
Energy of formation from the pure elements in eV/f.u.: -5.57
VASP energy in eV/atom: -5.404
Polymorph energy (0 for the lowest one) in meV per atom: 0
Space group: No. 198

(2)
Entry from Alexandria via LeMat-Bulk: a relaxed CaYSc2Hg4 crystal (PBE-GGA).

Structure (extended XYZ):
```
8
Lattice="2.5682 1.4828 8.4048 -2.5682 1.4828 8.4048 0.0000 -2.9655 8.4048" Properties=species:S:1:pos:R:3 pbc="T T T"
Ca 0.0000 0.0000 0.0000
Y 0.0000 0.0000 12.6071
Sc 0.0000 0.0000 6.3326
Sc 0.0000 0.0000 18.8817
Hg 0.0000 0.0000 3.1630
Hg 0.0000 0.0000 9.4758
Hg 0.0000 0.0000 15.7385
Hg 0.0000 0.0000 22.0512
```

Properties
Energy of formation from the pure elements in eV/f.u.: -3.66
VASP energy in eV/atom: -3.249
Space group: No. 166

(3)
Entry from Alexandria via LeMat-Bulk: a relaxed Sc3V crystal (PBE-GGA).

Structure (extended XYZ):
```
4
Lattice="-2.2343 2.2343 4.3039 2.2343 -2.2343 4.3039 2.2343 2.2343 -4.3039" Properties=species:S:1:pos:R:3 pbc="T T T"
Sc 0.0000 0.0000 0.0000
Sc 2.2343 0.0000 2.1519
Sc 0.0000 2.2343 2.1519
V 0.0000 0.0000 4.3039
```

Properties
Energy of formation from the pure elements in eV/f.u.: 0.90
VASP energy in eV/atom: -6.804
Polymorph energy (0 for the lowest one) in meV per atom: 47
Space group: No. 139

(4)
Entry from Alexandria via LeMat-Bulk: a relaxed TiTl3Se4 crystal (PBE-GGA).

Structure (extended XYZ):
```
8
Lattice="-3.7385 4.0800 4.1852 3.7385 -4.0800 4.1852 3.7385 4.0800 -4.1852" Properties=species:S:1:pos:R:3 pbc="T T T"
Ti 0.0000 0.0000 0.0000
Tl 3.7385 0.0000 2.5107
Tl 0.0000 0.0000 4.1852
Tl 0.0000 4.0800 1.6746
Se 6.0489 1.4209 -1.3142
Se 1.4280 1.4209 1.3142
Se -2.3105 2.6591 2.8711
Se 2.3105 2.6591 5.4994
```

Properties
VASP energy in eV/atom: -4.189
Space group: No. 23

(5)
Entry from Alexandria via LeMat-Bulk: a relaxed LiLuPuRh crystal (PBE-GGA).

Structure (extended XYZ):
```
4
Lattice="0.0000 3.4496 3.4496 3.4496 0.0000 3.4496 3.4496 3.4496 0.0000" Properties=species:S:1:pos:R:3 pbc="T T T"
Li 0.0000 0.0000 0.0000
Lu 1.7248 1.7248 1.7248
Pu 5.1744 5.1744 5.1744
Rh 3.4496 3.4496 3.4496
```

Properties
Energy of formation from the pure elements in eV/f.u.: -1.23
VASP energy in eV/atom: -7.337
Space group: No. 216

(6)
Entry from Alexandria via LeMat-Bulk: a relaxed MgNiSe crystal (PBE-GGA).

Structure (extended XYZ):
```
6
Lattice="3.7808 0.0000 0.0000 0.0000 4.1302 0.0000 0.0000 0.0000 6.5446" Properties=species:S:1:pos:R:3 pbc="T T T"
Mg 0.0000 0.9133 0.0000
Mg 0.0000 3.2169 3.2723
Ni 1.8904 0.6892 4.4605
Ni 1.8904 3.4410 1.1882
Se 1.8904 1.3431 2.2187
Se 1.8904 2.7870 5.4910
```

Properties
VASP energy in eV/atom: -4.059
Space group: No. 26

(7)
Entry from Alexandria via LeMat-Bulk: a relaxed ScTaSnRu2 crystal (PBE-GGA).

Structure (extended XYZ):
```
5
Lattice="4.5805 0.0000 0.0000 0.0000 4.5805 0.0000 0.0000 0.0000 4.9268" Properties=species:S:1:pos:R:3 pbc="T T T"
Sc 0.0000 0.0000 0.0000
Ta 0.0000 0.0000 2.4634
Sn 2.2903 2.2903 2.4634
Ru 0.0000 2.2903 0.0000
Ru 2.2903 0.0000 0.0000
```

Properties
Energy of formation from the pure elements in eV/f.u.: 6.76
VASP energy in eV/atom: -6.795
Space group: No. 123

(8)
Entry from Alexandria via LeMat-Bulk: a relaxed LaZrTaN3 crystal (PBE-GGA).

Structure (extended XYZ):
```
12
Lattice="5.8166 0.0000 0.0000 0.0000 3.3388 0.0000 -1.9865 0.0000 8.3556" Properties=species:S:1:pos:R:3 pbc="T T T"
La 0.4623 0.8347 1.5896
La 3.3678 2.5041 6.7660
Zr 0.4689 2.5041 4.5679
Zr 3.3612 0.8347 3.7878
Ta 0.4842 0.8347 7.1877
Ta 3.3459 2.5041 1.1679
N -0.9119 0.8347 5.5044
N -0.3967 2.5041 8.2145
N 2.0228 2.5041 2.8815
N 1.8073 0.8347 5.4742
N 4.2268 0.8347 0.1412
N 4.7420 2.5041 2.8512
```

Properties
VASP energy in eV/atom: -9.805
Space group: No. 11

(9)
Entry from Alexandria via LeMat-Bulk: a relaxed LiCrCl2 crystal (PBE-GGA).

Structure (extended XYZ):
```
8
Lattice="3.6679 0.0000 0.0000 -0.1834 6.7155 0.0000 -1.7842 -1.4686 7.0101" Properties=species:S:1:pos:R:3 pbc="T T T"
Li 0.0000 0.0000 0.0000
Li -0.1624 5.6487 3.2604
Cr 1.8927 3.3610 1.4520
Cr 1.9072 2.8401 3.3004
Cl 0.0130 2.3577 0.1958
Cl 0.0311 1.3180 3.7480
Cl 1.6519 5.7626 1.2493
Cl 1.6640 4.8091 4.6583
```

Properties
VASP energy in eV/atom: -4.788
Polymorph energy (0 for the lowest one) in meV per atom: 50
Space group: No. 1

(10)
Entry from Alexandria via LeMat-Bulk: a relaxed Mn2Pd7Pt3 crystal (PBE-GGA).

Structure (extended XYZ):
```
12
Lattice="1.9937 -13.3758 0.0000 1.9937 13.3758 0.0000 0.0000 0.0000 3.7685" Properties=species:S:1:pos:R:3 pbc="T T T"
Mn 1.9937 9.3123 0.0000
Mn 1.9937 -9.3123 0.0000
Pd 0.0000 0.0000 0.0000
Pd 1.9937 11.3277 1.8842
Pd 1.9937 5.8595 0.0000
Pd 1.9937 2.0543 0.0000
Pd 1.9937 -2.0543 0.0000
Pd 1.9937 -5.8595 0.0000
Pd 1.9937 -11.3277 1.8842
Pt 1.9937 4.0162 1.8842
Pt 1.9937 0.0000 1.8842
Pt 1.9937 -4.0162 1.8842
```

Properties
Energy of formation from the pure elements in eV/f.u.: 0.28
VASP energy in eV/atom: -6.045
Space group: No. 65